Record 1
## CaPRh2 (PBE-GGA)

Data for a relaxed CaPRh2 crystal.

Geometry as POSCAR:
```
CaPRh2
1.0
3.9122 0.0000 0.0000
0.0000 3.9122 0.0000
0.0000 0.0000 9.1420
Ca P Rh
2 2 4
Direct
0.2500 0.2500 0.2147
0.7500 0.7500 0.7853
0.2500 0.2500 0.6512
0.7500 0.7500 0.3488
0.2500 0.2500 0.8956
0.2500 0.7500 0.5000
0.7500 0.2500 0.5000
0.7500 0.7500 0.1044
```

The value obtained for the volume is 17.5 A^3/atom. The total energy comes out at -6.25 eV per atom. The calculation puts the density at 6.57 g cm⁻³. The formation energy is -718 meV per atom.


Record 2
## Ca4PRh (PBE-GGA)

Data for a relaxed Ca4PRh crystal.

Geometry as POSCAR:
```
Ca4PRh
1.0
0.0000 4.2441 4.2441
4.2441 0.0000 4.2441
4.2441 4.2441 0.0000
Ca P Rh
4 1 1
Direct
0.1254 0.1254 0.1254
0.1254 0.1254 0.6239
0.1254 0.6239 0.1254
0.6239 0.1254 0.1254
0.7500 0.7500 0.7500
0.5000 0.5000 0.5000
```

The value obtained for the volume is 25.5 A^3/atom. The total energy comes out at -2.92 eV per atom. The calculation puts the density at 3.20 g cm⁻³. The formation energy is 545 meV per atom.


Record 3
## Ca2P3Rh5 (PBE-GGA)

Data for a relaxed Ca2P3Rh5 crystal.

Geometry as POSCAR:
```
Ca2P3Rh5
1.0
1.9650 -12.8172 0.0000
1.9650 12.8172 0.0000
0.0000 0.0000 6.5197
Ca P Rh
4 6 10
Direct
0.0179 0.9821 0.5000
0.3217 0.6783 0.5163
0.6783 0.3217 0.0163
0.9821 0.0179 0.0000
0.1099 0.8901 0.2643
0.2835 0.7165 0.0755
0.4429 0.5571 0.2926
0.5571 0.4429 0.7926
0.7165 0.2835 0.5755
0.8901 0.1099 0.7643
0.0960 0.9040 0.8744
0.1942 0.8058 0.3812
0.2328 0.7672 0.7684
0.3765 0.6235 0.0405
0.4317 0.5683 0.6600
0.5683 0.4317 0.1600
0.6235 0.3765 0.5405
0.7672 0.2328 0.2684
0.8058 0.1942 0.8812
0.9040 0.0960 0.3744
```

The value obtained for the volume is 16.4 A^3/atom. The total energy comes out at -6.50 eV per atom. The calculation puts the density at 6.95 g cm⁻³. The formation energy is -797 meV per atom.


Record 4
## Ca2PRh2 (PBE-GGA)

Data for a relaxed Ca2PRh2 crystal.

Geometry as POSCAR:
```
Ca2PRh2
1.0
4.8783 -2.8586 0.0000
4.8783 2.8586 0.0000
-1.3921 0.0000 7.1686
Ca P Rh
4 2 4
Direct
0.0234 0.2757 0.1473
0.2757 0.0234 0.6473
0.7243 0.9766 0.3527
0.9766 0.7243 0.8527
0.4107 0.5893 0.2500
0.5893 0.4107 0.7500
0.2473 0.5093 0.4943
0.4907 0.7527 0.0057
0.5093 0.2473 0.9943
0.7527 0.4907 0.5057
```

The value obtained for the volume is 20.0 A^3/atom. Its energy relative to the lowest polymorph listed for this composition is 0.000 eV/atom. The total energy comes out at -5.64 eV per atom. The calculation puts the density at 5.26 g cm⁻³. The formation energy is -814 meV per atom.


Record 5
## CaPRh2 (PBE-GGA)

Data for a relaxed CaPRh2 crystal.

Geometry as POSCAR:
```
CaPRh2
1.0
-3.6147 3.6147 2.9310
3.6147 -3.6147 2.9310
3.6147 3.6147 -2.9310
Ca P Rh
2 2 4
Direct
0.0000 0.0000 0.0000
0.7500 0.2500 0.5000
0.2500 0.7500 0.5000
0.5000 0.5000 0.0000
0.2302 0.6250 0.1052
0.3750 0.4802 0.6052
0.5198 0.1250 0.8948
0.8750 0.7698 0.3948
```

The value obtained for the volume is 19.1 A^3/atom. The total energy comes out at -6.11 eV per atom. The calculation puts the density at 6.00 g cm⁻³. The formation energy is -580 meV per atom.


Record 6
## CaP2Rh5 (PBE-GGA)

Data for a relaxed CaP2Rh5 crystal.

Geometry as POSCAR:
```
CaP2Rh5
1.0
-1.9421 3.3753 4.7895
1.9421 -3.3753 4.7895
1.9421 3.3753 -4.7895
Ca P Rh
1 2 5
Direct
0.0000 0.0000 0.0000
0.2621 0.7621 0.5000
0.7379 0.2379 0.5000
0.1465 0.3482 0.7983
0.4501 0.6518 0.7983
0.5000 0.0000 0.5000
0.5499 0.3482 0.2017
0.8535 0.6518 0.2017
```

The value obtained for the volume is 15.7 A^3/atom. The total energy comes out at -6.92 eV per atom. The calculation puts the density at 8.15 g cm⁻³. The formation energy is -721 meV per atom.


Record 7
## CaPRh2 (PBE-GGA)

Data for a relaxed CaPRh2 crystal.

Geometry as POSCAR:
```
CaPRh2
1.0
2.0162 1.1641 5.3448
-2.0162 1.1641 5.3448
0.0000 -2.3282 5.3448
Ca P Rh
1 1 2
Direct
0.0000 0.0000 0.0000
0.1850 0.1850 0.1850
0.5483 0.5483 0.5483
0.8022 0.8022 0.8022
```

The value obtained for the volume is 18.8 A^3/atom. The total energy comes out at -6.17 eV per atom. The calculation puts the density at 6.11 g cm⁻³. The formation energy is -643 meV per atom.


Record 8
## CaPRh2 (PBE-GGA)

Data for a relaxed CaPRh2 crystal.

Geometry as POSCAR:
```
CaPRh2
1.0
2.9727 0.0000 0.0000
0.0000 2.9727 0.0000
0.0000 0.0000 7.3384
Ca P Rh
1 1 2
Direct
0.0000 0.0000 0.0000
0.0000 0.0000 0.5000
0.5000 0.5000 0.3117
0.5000 0.5000 0.6883
```

The value obtained for the volume is 16.2 A^3/atom. The total energy comes out at -5.94 eV per atom. The calculation puts the density at 7.09 g cm⁻³. The formation energy is -411 meV per atom.


Record 9
## CaPRh3 (PBE-GGA)

Data for a relaxed CaPRh3 crystal.

Geometry as POSCAR:
```
CaPRh3
1.0
4.7190 0.0000 0.0000
0.0000 4.7190 0.0000
0.0000 0.0000 4.7190
Ca P Rh
1 1 3
Direct
0.0000 0.0000 0.0000
0.5000 0.5000 0.5000
0.0000 0.0000 0.5000
0.0000 0.5000 0.0000
0.5000 0.0000 0.0000
```

The value obtained for the volume is 21.0 A^3/atom. Its energy relative to the lowest polymorph listed for this composition is 2.290 eV/atom. The total energy comes out at -4.18 eV per atom. The calculation puts the density at 6.00 g cm⁻³. The formation energy is 1712 meV per atom.


Record 10
## Ca2P2Rh3 (PBE-GGA)

Data for a relaxed Ca2P2Rh3 crystal.

Geometry as POSCAR:
```
Ca2P2Rh3
1.0
5.2229 -1.8495 0.0000
5.2229 1.8495 0.0000
-3.0059 0.0000 6.4053
Ca P Rh
2 2 3
Direct
0.1317 0.1317 0.2731
0.8683 0.8683 0.7269
0.1468 0.1468 0.7311
0.8532 0.8532 0.2689
0.3598 0.3598 0.0705
0.5000 0.5000 0.5000
0.6402 0.6402 0.9295
```

The value obtained for the volume is 17.7 A^3/atom. The total energy comes out at -6.11 eV per atom. The calculation puts the density at 6.05 g cm⁻³. The formation energy is -840 meV per atom.


Record 11
## CaPRh2 (PBE-GGA)

Data for a relaxed CaPRh2 crystal.

Geometry as POSCAR:
```
CaPRh2
1.0
0.0000 3.2163 3.2163
3.2163 0.0000 3.2163
3.2163 3.2163 0.0000
Ca P Rh
1 1 2
Direct
0.0000 0.0000 0.0000
0.7500 0.7500 0.7500
0.2500 0.2500 0.2500
0.5000 0.5000 0.5000
```

The value obtained for the volume is 16.6 A^3/atom. The total energy comes out at -5.58 eV per atom. The calculation puts the density at 6.91 g cm⁻³. The formation energy is -54 meV per atom.


Record 12
## CaP2Rh4 (PBE-GGA)

Data for a relaxed CaP2Rh4 crystal.

Geometry as POSCAR:
```
CaP2Rh4
1.0
7.6457 0.0000 0.0000
0.0000 7.6457 0.0000
0.0000 0.0000 3.6778
Ca P Rh
2 4 8
Direct
0.0000 0.0000 0.0000
0.5000 0.5000 0.5000
0.2350 0.2350 0.5000
0.2650 0.7350 0.0000
0.7350 0.2650 0.0000
0.7650 0.7650 0.5000
0.0706 0.6751 0.5000
0.1751 0.4294 0.0000
0.3249 0.9294 0.5000
0.4294 0.1751 0.0000
0.5706 0.8249 0.0000
0.6751 0.0706 0.5000
0.8249 0.5706 0.0000
0.9294 0.3249 0.5000
```

The value obtained for the volume is 15.4 A^3/atom. The total energy comes out at -6.82 eV per atom. The calculation puts the density at 7.93 g cm⁻³. The formation energy is -785 meV per atom.